# 1
Na2Sn2Pd3: relaxed, GGA-PBE.

Cell: 3.693 6.353 7.539 Å, 116.86 90.00 106.90°
Sites, in units of the cell vectors:
Pd 0.596 0.193 0.446
Pd 0.404 0.807 0.554
Na 0.877 0.755 0.208
Na 0.123 0.245 0.792
Sn 0.166 0.331 0.259
Sn 0.834 0.669 0.741
Pd 0.500 0.000 0.000

Computed properties:
- Energy of formation from the pure elements: -2.6 eV per formula unit
- Total DFT energy (no corrections): -0.151 Ha/atom
- DOS(E_F): 2.4 states/eV per cell
- V: 149.2 Å³ per cell

# 2
Na6IrCl12: relaxed, GGA-PBE.

Cell: 8.160 8.160 8.160 Å, 92.70 92.70 92.70°
Site moments in Bohr magnetons follow the coordinates.
Sites, in units of the cell vectors:
Cl 0.623 0.397 0.170  0.11
Cl 0.961 0.720 0.021  0.15
Cl 0.979 0.039 0.280  0.15
Ir 0.000 0.000 0.000  1.17
Cl 0.170 0.623 0.397  0.11
Cl 0.039 0.280 0.979  0.15
Na 0.606 0.362 0.838  0.00
Cl 0.720 0.021 0.961  0.15
Cl 0.397 0.170 0.623  0.11
Cl 0.830 0.377 0.603  0.11
Cl 0.280 0.979 0.039  0.15
Cl 0.021 0.961 0.720  0.15
Cl 0.377 0.603 0.830  0.11
Na 0.838 0.606 0.362  0.00
Na 0.162 0.394 0.638  0.00
Na 0.362 0.838 0.606  0.00
Na 0.394 0.638 0.162  0.00
Cl 0.603 0.830 0.377  0.11
Na 0.638 0.162 0.394  0.00

Computed properties:
- Total DFT energy (no corrections): -0.118 Ha/atom
- DOS(E_F): 8.5 states/eV per cell
- V: 541.5 Å³ per cell
- Formation energy from raw total energies: -1172 meV/atom

# 3
KNiPAu: relaxed, GGA-PBE.

Cell: 3.907 3.907 11.760 Å, 90.00 90.00 90.00°
Sites, in units of the cell vectors:
P 0.750 0.750 0.908
Ni 0.750 0.250 0.000
K 0.750 0.750 0.256
P 0.250 0.250 0.092
Ni 0.250 0.750 0.000
Au 0.250 0.750 0.500
Au 0.750 0.250 0.500
K 0.250 0.250 0.744

Computed properties:
- Energy of formation from the pure elements: -1.6 eV per formula unit
- Total DFT energy (no corrections): -0.158 Ha/atom
- DOS(E_F): 4.8 states/eV per cell
- V: 179.5 Å³ per cell

# 4
Sb2Rh: relaxed, GGA-PBE.

Cell: 18.062 18.062 18.062 Å, 167.66 167.66 17.49°
Sites, in units of the cell vectors:
Sb 0.589 0.589 0.000
Rh 0.158 0.658 0.500
Sb 0.777 0.777 0.000
Rh 0.908 0.908 0.000
Rh 0.342 0.842 0.500
Sb 0.473 0.973 0.500
Sb 0.839 0.339 0.500
Sb 0.411 0.411 0.000
Rh 0.092 0.092 0.000
Sb 0.223 0.223 0.000
Sb 0.661 0.161 0.500
Sb 0.027 0.527 0.500

Computed properties:
- Total DFT energy (no corrections): -0.191 Ha/atom
- DOS(E_F): 7.0 states/eV per cell
- V: 269.2 Å³ per cell
- Formation energy from raw total energies: 6 meV/atom

# 5
Dy3ZnCu4: relaxed, GGA-PBE.

Cell: 3.894 6.449 7.691 Å, 114.79 104.66 90.00°
Sites, in units of the cell vectors:
Cu 0.377 0.573 0.755
Cu 0.623 0.427 0.245
Dy 0.187 0.187 0.375
Cu 0.623 0.818 0.245
Dy 0.813 0.813 0.625
Zn 0.500 0.000 0.000
Cu 0.377 0.182 0.755
Dy 0.000 0.500 0.000

Computed properties:
- Energy of formation from the pure elements: -0.7 eV per formula unit
- Total DFT energy (no corrections): -0.148 Ha/atom
- DOS(E_F): 6.5 states/eV per cell
- V: 168.4 Å³ per cell

# 6
Pm4FeSn2: relaxed, GGA-PBE.

Cell: 4.922 4.922 9.204 Å, 105.51 105.51 90.00°
Sites, in units of the cell vectors:
Pm 0.826 0.826 0.652
Pm 0.500 0.000 0.000
Pm 0.174 0.174 0.348
Pm 0.000 0.500 0.000
Sn 0.360 0.360 0.721
Sn 0.640 0.640 0.279
Fe 0.000 0.000 0.000

Computed properties:
- Energy of formation from the pure elements: -2.2 eV per formula unit
- Total DFT energy (no corrections): -0.198 Ha/atom
- DOS(E_F): 4.6 states/eV per cell
- V: 206.4 Å³ per cell

# 7
Tc2GeMo: relaxed, GGA-PBE.

Cell: 6.428 6.428 6.428 Å, 46.87 155.62 140.61°
Sites, in units of the cell vectors:
Tc 0.000 0.712 0.712
Tc 0.000 0.288 0.288
Ge 0.000 0.000 0.000
Mo 0.000 0.500 0.500

Computed properties:
- Energy of formation from the pure elements: 2.4 eV per formula unit
- Total DFT energy (no corrections): -0.310 Ha/atom
- DOS(E_F): 4.1 states/eV per cell
- V: 69.4 Å³ per cell

# 8
Sm2PuO: relaxed, GGA-PBE.

Cell: 3.516 3.516 9.631 Å, 79.48 79.48 60.00°
Site moments in Bohr magnetons follow the coordinates.
Sites, in units of the cell vectors:
O 0.500 0.500 0.500  0.00
Sm 0.882 0.882 0.353  0.03
Sm 0.118 0.118 0.647  0.03
Pu 0.000 0.000 0.000  5.71

Computed properties:
- Total DFT energy (no corrections): -0.303 Ha/atom
- DOS(E_F): 9.7 states/eV per cell
- V: 100.8 Å³ per cell
- Formation energy from raw total energies: -1053 meV/atom

# 9
Mg2CdGaHg5: relaxed, GGA-PBE.

Cell: 3.231 10.256 12.747 Å, 90.00 90.00 99.06°
Sites, in units of the cell vectors:
Mg 0.846 0.692 0.849
Ga 0.603 0.206 0.936
Hg 0.338 0.675 0.650
Hg 0.289 0.579 0.249
Cd 0.770 0.539 0.467
Hg 0.373 0.746 0.043
Mg 0.915 0.829 0.239
Mg 0.085 0.171 0.739
Mg 0.154 0.308 0.349
Ga 0.397 0.794 0.436
Hg 0.711 0.421 0.749
Hg 0.469 0.937 0.818
Cd 0.230 0.461 0.967
Hg 0.531 0.063 0.318
Hg 0.015 0.030 0.072
Hg 0.627 0.254 0.543
Hg 0.985 0.970 0.572
Hg 0.662 0.325 0.150

Computed properties:
- Energy of formation from the pure elements: -0.6 eV per formula unit
- Total DFT energy (no corrections): -0.038 Ha/atom
- DOS(E_F): 5.0 states/eV per cell
- V: 417.1 Å³ per cell

# 10
Li2ZrPaTe4: relaxed, GGA-PBE.

Cell: 4.114 7.077 7.715 Å, 107.75 90.00 90.00°
Site moments in Bohr magnetons follow the coordinates.
Sites, in units of the cell vectors:
Te 0.000 0.740 0.253  -0.01
Zr 0.500 0.500 0.000  0.38
Te 0.500 0.264 0.262  -0.02
Te 0.000 0.260 0.747  -0.01
Li 0.500 0.000 0.500  0.00
Li 0.000 0.500 0.500  0.00
Te 0.500 0.736 0.738  -0.02
Pa 0.000 0.000 0.000  1.16

Computed properties:
- Total DFT energy (no corrections): -0.191 Ha/atom
- DOS(E_F): 7.2 states/eV per cell
- V: 213.9 Å³ per cell
- Formation energy from raw total energies: -884 meV/atom

# 11
CsTi2H: relaxed, GGA-PBE.

Cell: 6.334 6.334 6.340 Å, 60.03 60.03 90.00°
Site moments in Bohr magnetons follow the coordinates.
Sites, in units of the cell vectors:
Ti 0.375 0.125 0.250  1.15
H 0.250 0.750 0.500  -0.01
Cs 0.750 0.250 0.500  0.07
Ti 0.375 0.625 0.750  1.15
Ti 0.375 0.625 0.250  1.17
Ti 0.875 0.625 0.750  1.17
H 0.500 0.500 0.000  -0.01
Cs 0.000 0.000 0.000  0.07

Computed properties:
- Total DFT energy (no corrections): -0.155 Ha/atom
- DOS(E_F): 7.9 states/eV per cell
- V: 180.0 Å³ per cell

# 12
LiLa3Er2Se6: relaxed, GGA-PBE.

Cell: 7.187 7.187 7.271 Å, 99.49 99.49 120.10°
Sites, in units of the cell vectors:
La 0.166 0.834 0.500
Se 0.596 0.925 0.774
Li 0.000 0.000 0.000
Se 0.748 0.748 0.224
Se 0.925 0.596 0.774
Se 0.252 0.252 0.776
Se 0.075 0.404 0.226
La 0.834 0.166 0.500
Er 0.334 0.666 0.000
Er 0.666 0.334 0.000
Se 0.404 0.075 0.226
La 0.500 0.500 0.500

Computed properties:
- Total DFT energy (no corrections): -0.210 Ha/atom
- DOS(E_F): 5.9 states/eV per cell
- V: 306.7 Å³ per cell
- Formation energy from raw total energies: -1831 meV/atom